## MgBe2 (GGA-PBE)

Data for a relaxed structure of MgBe2.

Unit cell a=4.901 b=3.952 c=7.577 alpha=90.00 beta=90.00 gamma=90.00
Sites, in units of the cell vectors:
Mg (0.095, 0.250, 0.136)
Mg (0.405, 0.750, 0.636)
Mg (0.595, 0.250, 0.364)
Mg (0.905, 0.750, 0.864)
Be (0.113, 0.250, 0.500)
Be (0.221, 0.750, 0.319)
Be (0.279, 0.250, 0.819)
Be (0.387, 0.750, 0.000)
Be (0.613, 0.250, 0.000)
Be (0.721, 0.750, 0.181)
Be (0.779, 0.250, 0.681)
Be (0.887, 0.750, 0.500)

Calculated values
- N(E_F) (states/eV/atom) = 0.207
- energy above the most stable polymorph in this dataset (meV/atom) = 154
- ρ (kg/m³) = 1916
- energy (eV per atom) = -2.7691
- space group = No. 62